Entry 1:
PBE-GGA BaLiZnF2, optimized geometry; uncorrected formation energy = -1.402 eV per atom; space group = No. 123
1.0
4.3278 0.0000 0.0000
0.0000 4.3278 0.0000
0.0000 0.0000 5.6493
Ba Li Zn F
1 1 1 2
direct
0.0000 0.0000 0.0000
0.0000 0.0000 0.5000
0.5000 0.5000 0.0000
0.0000 0.5000 0.5000
0.5000 0.0000 0.5000

=====

Entry 2:
PBE-GGA Ba2LiZnF6, optimized geometry; uncorrected formation energy = -2.981 eV per atom; space group = No. 59
1.0
5.9059 0.0000 0.0000
0.0000 8.4346 0.0000
0.0000 0.0000 6.1772
Ba Li Zn F
4 2 2 12
direct
0.2500 0.0068 0.2348
0.2500 0.4932 0.2348
0.7500 0.5068 0.7652
0.7500 0.9932 0.7652
0.2500 0.7500 0.7651
0.7500 0.2500 0.2349
0.2500 0.2500 0.7301
0.7500 0.7500 0.2699
0.0061 0.7500 0.0028
0.0080 0.7500 0.5437
0.2500 0.5124 0.7934
0.2500 0.9876 0.7934
0.4920 0.7500 0.5437
0.4939 0.7500 0.0028
0.5061 0.2500 0.9972
0.5080 0.2500 0.4563
0.7500 0.0124 0.2066
0.7500 0.4876 0.2066
0.9920 0.2500 0.4563
0.9939 0.2500 0.9972

=====

Entry 3:
PBE-GGA BaLiZn2F, optimized geometry; uncorrected formation energy = -0.783 eV per atom; space group = No. 123
1.0
5.7872 0.0000 0.0000
0.0000 5.7872 0.0000
0.0000 0.0000 3.7296
Ba Li Zn F
1 1 2 1
direct
0.0000 0.0000 0.0000
0.5000 0.5000 0.5000
0.0000 0.5000 0.5000
0.5000 0.0000 0.5000
0.5000 0.5000 0.0000

=====

Question: What is the uncorrected formation energy in the first record?
Answer: -1.402 eV per atom